No. 1
SmScGe | PBE-GGA | relaxed

Output
E above lowest polymorph = 0 meV per atom
crystal system = tetragonal

Lattice parameters (Å, degrees): 8.479 8.479 8.479 150.73 150.73 41.87
Each line ends with the local moment (μB).
Positions (direct):
Sc 0.000 0.500 0.500  0.19
Sm 0.677 0.677 0.000  0.23
Ge 0.125 0.125 0.000  -0.02
Sc 0.500 0.000 0.500  0.24
Ge 0.875 0.875 0.000  -0.02
Sm 0.323 0.323 0.000  0.23

No. 2
SmScGe | PBE-GGA | relaxed

Output
E above lowest polymorph = 1064 meV per atom
crystal system = cubic

Lattice parameters (Å, degrees): 4.907 4.907 4.907 60.00 60.00 60.00
Positions (direct):
Sm 0.000 0.000 0.000
Ge 0.250 0.250 0.250
Sc 0.750 0.750 0.750

No. 3
SmScGe | PBE-GGA | relaxed

Output
E above lowest polymorph = 911 meV per atom
crystal system = cubic

Lattice parameters (Å, degrees): 4.815 4.815 4.815 60.00 60.00 60.00
Positions (direct):
Ge 0.250 0.250 0.250
Sm 0.750 0.750 0.750
Sc 0.000 0.000 0.000

No. 4
Sc2TaGe | PBE-GGA | relaxed

Output
total energy = -29.1 eV/f.u.
crystal system = cubic

Lattice parameters (Å, degrees): 4.731 4.731 4.731 60.00 60.00 60.00
Each line ends with the local moment (μB).
Positions (direct):
Sc 0.000 0.000 0.000  0.38
Sc 0.750 0.750 0.750  0.02
Ta 0.250 0.250 0.250  0.39
Ge 0.500 0.500 0.500  -0.02

No. 5
ScTaGe | PBE-GGA | relaxed

Output
total energy = -22.9 eV/f.u.
crystal system = cubic

Lattice parameters (Å, degrees): 4.420 4.420 4.420 60.00 60.00 60.00
Positions (direct):
Sc 0.250 0.250 0.250
Ge 0.000 0.000 0.000
Ta 0.750 0.750 0.750

No. 6
ScTa2Ge | PBE-GGA | relaxed

Output
total energy = -34.9 eV/f.u.
crystal system = cubic

Lattice parameters (Å, degrees): 4.664 4.664 4.664 60.00 60.00 60.00
Positions (direct):
Ta 0.000 0.000 0.000
Ge 0.500 0.500 0.500
Ta 0.750 0.750 0.750
Sc 0.250 0.250 0.250

No. 7
TbScGe2 | PBE-GGA | relaxed

Output
total energy = -19.9 eV/f.u.
crystal system = orthorhombic

Lattice parameters (Å, degrees): 3.181 6.281 6.281 53.88 90.00 90.00
Each line ends with the local moment (μB).
Positions (direct):
Ge 0.000 0.395 0.395  0.00
Sc 0.000 0.848 0.848  0.23
Tb 0.000 0.143 0.143  0.03
Ge 0.000 0.614 0.614  0.00

No. 8
Sc2TcGe | PBE-GGA | relaxed

Output
total energy = -28.9 eV/f.u.
crystal system = cubic

Lattice parameters (Å, degrees): 4.578 4.578 4.578 60.00 60.00 60.00
Positions (direct):
Sc 0.000 0.000 0.000
Tc 0.250 0.250 0.250
Ge 0.500 0.500 0.500
Sc 0.750 0.750 0.750